(1)
First-principles (PBE) data for crystalline BaAc2HoHg4 at its relaxed geometry, as listed in the Alexandria database.

POSCAR file:
```
BaAc2HoHg4
1.0
2.8163 1.6260 9.3512
-2.8163 1.6260 9.3512
0.0000 -3.2520 9.3512
Ba Ac Ho Hg
1 2 1 4
Cartesian
0.0000 0.0000 0.0000
0.0000 0.0000 6.9522
0.0000 0.0000 21.1012
0.0000 0.0000 14.0267
0.0000 0.0000 3.6280
0.0000 0.0000 10.7794
0.0000 0.0000 17.2741
0.0000 0.0000 24.4255
```

Output
total magnetic moment = 0.00 μB per formula unit
D(E_F) = 6.18 states/eV/f.u.
final energy = -2.437 eV/atom
ρ = 10.07 g/cm3
formation energy from the elements = -446 meV per atom
volume = 256.9 Å³/cell


(2)
First-principles (PBE) data for crystalline BaAcInHg at its relaxed geometry, as listed in the Alexandria database.

POSCAR file:
```
BaAcInHg
1.0
4.1286 0.0000 0.0000
0.0000 4.1286 0.0000
0.0000 0.0000 8.4546
Ba Ac In Hg
1 1 1 1
Cartesian
0.0000 0.0000 0.0000
0.0000 0.0000 4.1692
2.0643 2.0643 6.1496
2.0643 2.0643 2.2916
```

Output
ΔE to the lowest computed polymorph = 0.0 meV/atom
total magnetic moment = 0.00 μB per formula unit
D(E_F) = 3.96 states/eV/f.u.
final energy = -2.729 eV/atom
ρ = 7.83 g/cm3
formation energy from the elements = -461 meV per atom
volume = 144.1 Å³/cell


(3)
First-principles (PBE) data for crystalline BaAcInHg at its relaxed geometry, as listed in the Alexandria database.

POSCAR file:
```
BaAcInHg
1.0
0.0000 4.1627 4.1627
4.1627 0.0000 4.1627
4.1627 4.1627 0.0000
Ba Ac In Hg
1 1 1 1
Cartesian
0.0000 0.0000 0.0000
4.1627 4.1627 4.1627
6.2441 6.2441 6.2441
2.0814 2.0814 2.0814
```

Output
ΔE to the lowest computed polymorph = 32.5 meV/atom
total magnetic moment = 0.00 μB per formula unit
D(E_F) = 3.05 states/eV/f.u.
final energy = -2.697 eV/atom
ρ = 7.82 g/cm3
formation energy from the elements = -429 meV per atom
volume = 144.3 Å³/cell


(4)
First-principles (PBE) data for crystalline BaLiAc2Hg4 at its relaxed geometry, as listed in the Alexandria database.

POSCAR file:
```
BaLiAc2Hg4
1.0
2.7959 1.6142 9.3656
-2.7959 1.6142 9.3656
0.0000 -3.2285 9.3656
Ba Li Ac Hg
1 1 2 4
Cartesian
0.0000 0.0000 0.0000
0.0000 0.0000 14.0484
0.0000 0.0000 6.8098
0.0000 0.0000 21.2870
0.0000 0.0000 3.5434
0.0000 0.0000 10.8624
0.0000 0.0000 17.2345
0.0000 0.0000 24.5535
```

Output
total magnetic moment = 0.00 μB per formula unit
D(E_F) = 6.23 states/eV/f.u.
final energy = -2.076 eV/atom
ρ = 9.17 g/cm3
formation energy from the elements = -418 meV per atom
volume = 253.6 Å³/cell


(5)
First-principles (PBE) data for crystalline BaLiAcHg at its relaxed geometry, as listed in the Alexandria database.

POSCAR file:
```
BaLiAcHg
1.0
0.0000 4.1327 4.1327
4.1327 0.0000 4.1327
4.1327 4.1327 0.0000
Ba Li Ac Hg
1 1 1 1
Cartesian
0.0000 0.0000 0.0000
2.0664 2.0664 2.0664
4.1327 4.1327 4.1327
6.1991 6.1991 6.1991
```

Output
total magnetic moment = 0.00 μB per formula unit
D(E_F) = 3.74 states/eV/f.u.
final energy = -2.240 eV/atom
ρ = 6.73 g/cm3
formation energy from the elements = -179 meV per atom
volume = 141.2 Å³/cell


(6)
First-principles (PBE) data for crystalline Ba3Li2Ac2Hg4 at its relaxed geometry, as listed in the Alexandria database.

POSCAR file:
```
Ba3Li2Ac2Hg4
1.0
5.4567 0.0000 0.0000
-2.7283 4.7256 0.0000
0.0000 0.0000 15.5843
Ba Li Ac Hg
3 2 2 4
Cartesian
0.0000 0.0000 0.0000
0.0000 0.0000 3.9739
0.0000 0.0000 11.6104
0.0000 3.1504 2.3547
2.7284 1.5752 13.2295
0.0000 3.1504 8.9645
2.7284 1.5752 6.6197
0.0000 3.1504 5.5960
0.0000 3.1504 13.4495
2.7284 1.5752 2.1348
2.7284 1.5752 9.9883
```

Output
total magnetic moment = 0.00 μB per formula unit
D(E_F) = 12.07 states/eV/f.u.
final energy = -1.988 eV/atom
ρ = 6.95 g/cm3
formation energy from the elements = -259 meV per atom
volume = 401.9 Å³/cell


(7)
First-principles (PBE) data for crystalline BaAcMgHg at its relaxed geometry, as listed in the Alexandria database.

POSCAR file:
```
BaAcMgHg
1.0
0.0000 4.1670 4.1670
4.1670 0.0000 4.1670
4.1670 4.1670 0.0000
Ba Ac Mg Hg
1 1 1 1
Cartesian
0.0000 0.0000 0.0000
4.1670 4.1670 4.1670
2.0835 2.0835 2.0835
6.2504 6.2504 6.2504
```

Output
ΔE to the lowest computed polymorph = 46.4 meV/atom
total magnetic moment = 0.00 μB per formula unit
D(E_F) = 2.13 states/eV/f.u.
final energy = -2.215 eV/atom
ρ = 6.76 g/cm3
formation energy from the elements = -233 meV per atom
volume = 144.7 Å³/cell


(8)
First-principles (PBE) data for crystalline BaAcMgHg at its relaxed geometry, as listed in the Alexandria database.

POSCAR file:
```
BaAcMgHg
1.0
4.1587 0.0000 0.0000
0.0000 4.1587 0.0000
0.0000 0.0000 8.4524
Ba Ac Mg Hg
1 1 1 1
Cartesian
0.0000 0.0000 0.0000
0.0000 0.0000 4.0672
2.0793 2.0793 6.0976
2.0793 2.0793 2.2351
```

Output
ΔE to the lowest computed polymorph = 0.0 meV/atom
total magnetic moment = 0.10 μB per formula unit
D(E_F) = 3.55 states/eV/f.u.
final energy = -2.262 eV/atom
ρ = 6.69 g/cm3
formation energy from the elements = -280 meV per atom
volume = 146.2 Å³/cell


(9)
First-principles (PBE) data for crystalline BaNa2AcHg4 at its relaxed geometry, as listed in the Alexandria database.

POSCAR file:
```
BaNa2AcHg4
1.0
2.7652 1.5965 9.3126
-2.7652 1.5965 9.3126
0.0000 -3.1930 9.3126
Ba Na Ac Hg
1 2 1 4
Cartesian
0.0000 0.0000 0.0000
0.0000 0.0000 6.9481
0.0000 0.0000 20.9897
0.0000 0.0000 13.9689
0.0000 0.0000 3.5358
0.0000 0.0000 10.6315
0.0000 0.0000 17.3062
0.0000 0.0000 24.4020
```

Output
total magnetic moment = 0.00 μB per formula unit
D(E_F) = 6.15 states/eV/f.u.
final energy = -1.621 eV/atom
ρ = 8.16 g/cm3
formation energy from the elements = -386 meV per atom
volume = 246.7 Å³/cell


(10)
First-principles (PBE) data for crystalline BaAc2NdHg4 at its relaxed geometry, as listed in the Alexandria database.

POSCAR file:
```
BaAc2NdHg4
1.0
2.8445 1.6423 9.3456
-2.8445 1.6423 9.3456
0.0000 -3.2845 9.3456
Ba Ac Nd Hg
1 2 1 4
Cartesian
0.0000 0.0000 0.0000
0.0000 0.0000 6.9804
0.0000 0.0000 21.0564
0.0000 0.0000 14.0184
0.0000 0.0000 3.6159
0.0000 0.0000 10.6873
0.0000 0.0000 17.3495
0.0000 0.0000 24.4209
```

Output
total magnetic moment = 0.44 μB per formula unit
D(E_F) = 7.18 states/eV/f.u.
final energy = -2.478 eV/atom
ρ = 9.75 g/cm3
formation energy from the elements = -464 meV per atom
volume = 261.9 Å³/cell


(11)
First-principles (PBE) data for crystalline BaAcNiHg at its relaxed geometry, as listed in the Alexandria database.

POSCAR file:
```
BaAcNiHg
1.0
0.0000 3.9506 3.9506
3.9506 0.0000 3.9506
3.9506 3.9506 0.0000
Ba Ac Ni Hg
1 1 1 1
Cartesian
0.0000 0.0000 0.0000
3.9506 3.9506 3.9506
5.9259 5.9259 5.9259
1.9753 1.9753 1.9753
```

Output
total magnetic moment = 0.00 μB per formula unit
D(E_F) = 4.17 states/eV/f.u.
final energy = -3.144 eV/atom
ρ = 8.40 g/cm3
formation energy from the elements = -116 meV per atom
volume = 123.3 Å³/cell


(12)
First-principles (PBE) data for crystalline BaAc2HgO5 at its relaxed geometry, as listed in the Alexandria database.

POSCAR file:
```
BaAc2HgO5
1.0
-3.6052 3.6052 6.3518
3.6052 -3.6052 6.3518
3.6052 3.6052 -6.3518
Ba Ac Hg O
2 4 2 10
Cartesian
0.0000 0.0000 3.1759
0.0000 0.0000 9.5277
4.8521 1.2469 0.0000
1.2469 2.3583 0.0000
2.3583 1.2469 6.3518
-1.2469 2.3583 6.3518
3.6052 0.0000 3.1759
0.0000 3.6052 3.1759
0.0000 0.0000 0.0000
2.4986 1.1066 -1.5858
2.4986 -1.1066 4.7660
2.4986 1.1066 1.5858
2.4986 -1.1066 7.9376
0.0000 0.0000 6.3518
1.1066 4.7118 -1.5858
1.1066 2.4986 4.7660
1.1066 4.7118 1.5858
1.1066 2.4986 7.9376
```

Output
total magnetic moment = 0.00 μB per formula unit
formation energy without anion corrections = -2.414 eV/atom
D(E_F) = 0.00 states/eV/f.u.
final energy = -6.328 eV/atom
ρ = 8.77 g/cm3
volume = 330.2 Å³/cell